1.
# VFeRe

A relaxed structure of VFeRe (GGA-PBE, Alexandria via LeMat-Bulk).

energy relative to the elements: 775 meV/atom
energy relative to the lowest polymorph listed for this composition: 888 meV per atom

a b c (Å): 4.622 4.324 4.622
angles (deg): 90.00 89.99 90.00
Atoms (fractional coordinates):
V: 0.500 0.250 0.171
V: 0.500 0.750 0.829
Re: 0.000 0.250 0.645
Fe: 0.500 0.250 0.666
Fe: 0.500 0.750 0.334
Re: 0.000 0.750 0.355


2.
# VFe2Re2

A relaxed structure of VFe2Re2 (GGA-PBE, Alexandria via LeMat-Bulk).

energy relative to the elements: 221 meV/atom
energy relative to the lowest polymorph listed for this composition: 103 meV per atom

a b c (Å): 7.179 7.179 2.628
angles (deg): 90.00 90.00 90.00
Atoms (fractional coordinates):
Fe: 0.330 0.170 0.500
Re: 0.372 0.872 0.000
V: 0.000 0.000 0.000
Re: 0.628 0.128 0.000
Fe: 0.830 0.330 0.500
Fe: 0.170 0.670 0.500
Re: 0.128 0.372 0.000
V: 0.500 0.500 0.000
Re: 0.872 0.628 0.000
Fe: 0.670 0.830 0.500


3.
# VFe3Re2

A relaxed structure of VFe3Re2 (GGA-PBE, Alexandria via LeMat-Bulk).

energy relative to the elements: 68 meV/atom

a b c (Å): 5.930 6.612 4.179
angles (deg): 71.57 90.00 90.00
Last column: magnetic moment on the atom in μB.
Atoms (fractional coordinates):
Fe: 0.500 0.500 0.500  2.10
Fe: 0.991 0.839 0.831  2.05
V: 0.250 0.167 0.666  -0.50
V: 0.750 0.833 0.334  -0.50
Re: 0.250 0.827 0.337  0.17
Re: 0.750 0.173 0.663  0.17
Re: 0.750 0.491 0.005  0.18
Fe: 0.491 0.161 0.169  2.05
Re: 0.250 0.509 0.995  0.18
Fe: 0.000 0.500 0.500  2.10
Fe: 0.509 0.839 0.831  2.05
Fe: 0.009 0.161 0.169  2.05


4.
# V2FeRe

A relaxed structure of V2FeRe (GGA-PBE, Alexandria via LeMat-Bulk).

energy relative to the elements: -216 meV/atom

a b c (Å): 2.994 2.994 5.849
angles (deg): 90.00 90.00 90.00
Last column: magnetic moment on the atom in μB.
Atoms (fractional coordinates):
V: 0.000 0.000 0.242  -0.20
V: 0.000 0.000 0.758  -0.20
Fe: 0.500 0.500 0.000  1.35
Re: 0.500 0.500 0.500  0.04


5.
# VFeRe

A relaxed structure of VFeRe (GGA-PBE, Alexandria via LeMat-Bulk).

energy relative to the elements: -45 meV/atom
energy relative to the lowest polymorph listed for this composition: 68 meV per atom

a b c (Å): 3.009 3.009 4.890
angles (deg): 107.92 107.92 90.00
Last column: magnetic moment on the atom in μB.
Atoms (fractional coordinates):
V: 0.281 0.281 0.562  -0.15
Fe: 0.621 0.621 0.241  2.12
Re: 0.948 0.948 0.897  0.16


6.
# V3Fe2Re

A relaxed structure of V3Fe2Re (GGA-PBE, Alexandria via LeMat-Bulk).

energy relative to the elements: -177 meV/atom

a b c (Å): 4.177 6.585 5.860
angles (deg): 90.00 90.00 71.53
Last column: magnetic moment on the atom in μB.
Atoms (fractional coordinates):
V: 0.165 0.671 0.258  -0.26
Fe: 0.000 0.000 0.500  1.25
Re: 0.665 0.670 0.000  0.03
V: 0.835 0.329 0.742  -0.26
Re: 0.335 0.330 0.000  0.03
Fe: 0.668 0.665 0.500  1.26
V: 0.500 0.000 0.743  -0.27
Fe: 0.332 0.335 0.500  1.26
V: 0.835 0.329 0.258  -0.26
V: 0.500 0.000 0.257  -0.27
Fe: 0.000 0.000 0.000  1.24
V: 0.165 0.671 0.742  -0.26


7.
# VFeRe3

A relaxed structure of VFeRe3 (GGA-PBE, Alexandria via LeMat-Bulk).

energy relative to the elements: 1479 meV/atom
energy relative to the lowest polymorph listed for this composition: 0 meV per atom

a b c (Å): 4.388 4.388 4.388
angles (deg): 90.00 90.00 90.00
Last column: magnetic moment on the atom in μB.
Atoms (fractional coordinates):
Re: 0.000 0.000 0.500  0.28
Fe: 0.000 0.000 0.000  -0.27
Re: 0.000 0.500 0.000  0.28
V: 0.500 0.500 0.500  -1.72
Re: 0.500 0.000 0.000  0.28


8.
# VFe2Re

A relaxed structure of VFe2Re (GGA-PBE, Alexandria via LeMat-Bulk).

energy relative to the elements: 19 meV/atom
energy relative to the lowest polymorph listed for this composition: 23 meV per atom

a b c (Å): 4.159 4.159 4.159
angles (deg): 60.00 60.00 60.00
Last column: magnetic moment on the atom in μB.
Atoms (fractional coordinates):
Fe: 0.750 0.750 0.750  1.89
V: 0.500 0.500 0.500  -0.28
Fe: 0.250 0.250 0.250  1.89
Re: 0.000 0.000 0.000  0.17


9.
# V2Fe2Re

A relaxed structure of V2Fe2Re (GGA-PBE, Alexandria via LeMat-Bulk).

energy relative to the elements: 24 meV/atom
energy relative to the lowest polymorph listed for this composition: 0 meV per atom

a b c (Å): 6.755 6.755 2.734
angles (deg): 90.00 90.00 90.00
Atoms (fractional coordinates):
Fe: 0.133 0.367 0.000
V: 0.666 0.834 0.500
V: 0.166 0.666 0.500
V: 0.334 0.166 0.500
Re: 0.000 0.000 0.000
Fe: 0.633 0.133 0.000
Fe: 0.367 0.867 0.000
Fe: 0.867 0.633 0.000
Re: 0.500 0.500 0.000
V: 0.834 0.334 0.500


10.
# VFe2Re

A relaxed structure of VFe2Re (GGA-PBE, Alexandria via LeMat-Bulk).

energy relative to the elements: -4 meV/atom
energy relative to the lowest polymorph listed for this composition: 0 meV per atom

a b c (Å): 3.685 3.665 3.665
angles (deg): 90.00 90.00 90.00
Last column: magnetic moment on the atom in μB.
Atoms (fractional coordinates):
V: 0.500 0.500 0.500  -0.29
Fe: 0.000 0.500 0.000  1.07
Re: 0.500 0.000 0.000  -0.09
Fe: 0.000 0.000 0.500  1.07


11.
# VFeRe

A relaxed structure of VFeRe (GGA-PBE, Alexandria via LeMat-Bulk).

energy relative to the elements: -113 meV/atom
energy relative to the lowest polymorph listed for this composition: 0 meV per atom

a b c (Å): 3.005 3.008 9.280
angles (deg): 108.92 90.00 90.00
Last column: magnetic moment on the atom in μB.
Atoms (fractional coordinates):
Fe: 0.347 0.168 0.835  2.27
Re: 0.347 0.490 0.157  0.02
Re: 0.847 0.500 0.667  0.02
Fe: 0.847 0.822 0.989  2.27
V: 0.847 0.160 0.327  0.05
V: 0.347 0.829 0.496  0.05


12.
# VFeRe2

A relaxed structure of VFeRe2 (GGA-PBE, Alexandria via LeMat-Bulk).

energy relative to the elements: -40 meV/atom

a b c (Å): 5.063 2.622 4.256
angles (deg): 90.00 90.00 80.73
Last column: magnetic moment on the atom in μB.
Atoms (fractional coordinates):
Re: 0.502 0.497 0.000  0.08
V: 0.250 0.250 0.500  0.06
Re: 0.998 0.003 0.000  0.08
Fe: 0.750 0.750 0.500  2.50